Here is a relaxed CaCdNiF6 crystal from Alexandria. Energies are from GGA+U.

Properties
Calculated total energy (eV/cell): -82.61
Crystal system: trigonal
Space group: P-31c

a = 5.603 Å, b = 5.603 Å, c = 9.397 Å
α = 90.00°, β = 90.00°, γ = 120.00°
Fractional positions:
Ca1 0.333 0.667 0.250
Ca2 0.667 0.333 0.750
Cd1 0.000 0.000 0.000
Cd2 0.000 0.000 0.500
Ni1 0.333 0.667 0.750
Ni2 0.667 0.333 0.250
F1 0.032 0.358 0.632
F2 0.032 0.674 0.868
F3 0.326 0.358 0.868
F4 0.326 0.968 0.632
F5 0.358 0.032 0.132
F6 0.358 0.326 0.368
F7 0.642 0.674 0.632
F8 0.642 0.968 0.868
F9 0.674 0.032 0.368
F10 0.674 0.642 0.132
F11 0.968 0.326 0.132
F12 0.968 0.642 0.368